Entry 1:
! YCoSi2Ir (PBE-GGA, optimized geometry); values from VASP
! Uncorrected formation energy, eV per atom: -0.955
! Energy above the most stable polymorph in this dataset, meV per atom: 0
&SYSTEM
  ibrav = 0, nat = 5, ntyp = 4
/
ATOMIC_SPECIES
Y 88.91 Y.upf
Co 58.93 Co.upf
Si 28.09 Si.upf
Ir 192.22 Ir.upf
ATOMIC_POSITIONS crystal
Y 0.0000 0.0000 0.0000
Co 0.7500 0.2500 0.5000
Si 0.6236 0.6236 0.2472
Si 0.3764 0.3764 0.7528
Ir 0.2500 0.7500 0.5000
CELL_PARAMETERS angstrom
-2.0414 -2.3565 2.4692
3.0123 -2.5968 0.0121
1.5260 4.8280 2.6663

Entry 2:
! RbTiIO2 (PBE-GGA, optimized geometry); values from VASP
! Uncorrected formation energy, eV per atom: 0.826
! Energy above the most stable polymorph in this dataset, meV per atom: 2240
&SYSTEM
  ibrav = 0, nat = 5, ntyp = 4
/
ATOMIC_SPECIES
O 16.00 O.upf
Rb 85.47 Rb.upf
I 126.90 I.upf
Ti 47.87 Ti.upf
ATOMIC_POSITIONS crystal
O 0.5000 0.0000 0.0000
O 0.0000 0.5000 0.0000
Rb 0.0000 0.0000 0.0000
I 0.0000 0.0000 0.5000
Ti 0.5000 0.5000 0.5000
CELL_PARAMETERS angstrom
4.4401 0.0000 0.0000
0.0000 4.4401 0.0000
0.0000 0.0000 6.3665

Entry 3:
! PmPr2Ho2Er2 (PBE-GGA, optimized geometry); values from VASP
! Calculated formation energy, eV per atom: 0.149
&SYSTEM
  ibrav = 0, nat = 7, ntyp = 4
/
ATOMIC_SPECIES
Er 167.26 Er.upf
Pr 140.91 Pr.upf
Ho 164.93 Ho.upf
Pm 145.00 Pm.upf
ATOMIC_POSITIONS crystal
Er 0.7887 0.5774 0.3784
Pr 0.6475 0.2949 0.9118
Ho 0.5705 0.1410 0.2360
Pm 0.0000 0.0000 0.5000
Pr 0.3525 0.7051 0.0882
Ho 0.4295 0.8590 0.7640
Er 0.2113 0.4226 0.6216
CELL_PARAMETERS angstrom
3.5017 0.0000 0.0000
-1.7508 9.0477 -1.0567
0.0000 -3.2870 7.8271

Entry 4:
! In3PIr (PBE-GGA, optimized geometry); values from VASP
! Calculated formation energy, eV per atom: 0.944
! Energy above the most stable polymorph in this dataset, meV per atom: 607
&SYSTEM
  ibrav = 0, nat = 5, ntyp = 3
/
ATOMIC_SPECIES
In 114.82 In.upf
Ir 192.22 Ir.upf
P 30.97 P.upf
ATOMIC_POSITIONS crystal
In 0.0000 0.0000 0.5000
Ir 0.5000 0.5000 0.5000
P 0.0000 0.0000 0.0000
In 0.0000 0.5000 0.0000
In 0.5000 0.0000 0.0000
CELL_PARAMETERS angstrom
5.0089 0.0000 0.0000
0.0000 5.0089 0.0000
0.0000 0.0000 5.0089

Entry 5:
! KSr2CdRh (PBE-GGA, optimized geometry); values from VASP
! Calculated formation energy, eV per atom: -0.129
&SYSTEM
  ibrav = 0, nat = 5, ntyp = 4
/
ATOMIC_SPECIES
Cd 112.41 Cd.upf
Sr 87.62 Sr.upf
Rh 102.91 Rh.upf
K 39.10 K.upf
ATOMIC_POSITIONS crystal
Cd 0.0000 0.0000 0.5000
Sr 0.0000 0.5000 0.0000
Sr 0.5000 0.0000 0.0000
Rh 0.0000 0.0000 0.0000
K 0.5000 0.5000 0.5000
CELL_PARAMETERS angstrom
5.7972 0.0000 0.0000
0.0000 5.7972 0.0000
0.0000 0.0000 5.5533

Entry 6:
! Dy4SnRh5 (PBE-GGA, optimized geometry); values from VASP
! Calculated formation energy, eV per atom: -0.616
&SYSTEM
  ibrav = 0, nat = 10, ntyp = 3
/
ATOMIC_SPECIES
Dy 162.50 Dy.upf
Rh 102.91 Rh.upf
Sn 118.71 Sn.upf
ATOMIC_POSITIONS crystal
Dy 0.1606 0.2245 0.3900
Dy 0.3850 0.3900 0.7755
Rh 0.0582 0.6439 0.1578
Sn 0.1645 0.0000 0.0000
Dy 0.5506 0.6100 0.2245
Rh 0.2160 0.8422 0.6439
Rh 0.7021 0.1578 0.3561
Rh 0.8599 0.3561 0.8422
Dy 0.7751 0.7755 0.6100
Rh 0.6383 0.0000 0.0000
CELL_PARAMETERS angstrom
-0.4863 3.2878 4.4928
-5.0464 -1.6493 4.1365
3.5163 -2.0532 5.3588

Entry 7:
! ZnNiP (PBE-GGA, optimized geometry); values from VASP
! Calculated formation energy, eV per atom: -0.218
&SYSTEM
  ibrav = 0, nat = 12, ntyp = 3
/
ATOMIC_SPECIES
Zn 65.41 Zn.upf
Ni 58.69 Ni.upf
P 30.97 P.upf
ATOMIC_POSITIONS crystal
Zn 0.9844 0.6443 0.8166
Zn 0.4844 0.3557 0.3166
Ni 0.1842 0.0275 0.0256
P 0.8327 0.7558 0.3217
Zn 0.9844 0.1443 0.3166
Ni 0.1842 0.5275 0.5256
P 0.8327 0.2558 0.8217
P 0.3327 0.7442 0.3217
Ni 0.6842 0.9725 0.5256
Zn 0.4844 0.8557 0.8166
P 0.3327 0.2442 0.8217
Ni 0.6842 0.4725 0.0256
CELL_PARAMETERS angstrom
-4.2064 3.1036 2.6607
-3.2334 -0.1902 -4.8899
0.0873 -5.8013 0.1680

Entry 8:
! SrCaAl2Ru (PBE-GGA, optimized geometry); values from VASP
! Calculated formation energy, eV per atom: -0.181
! Energy above the most stable polymorph in this dataset, meV per atom: 0
&SYSTEM
  ibrav = 0, nat = 5, ntyp = 4
/
ATOMIC_SPECIES
Sr 87.62 Sr.upf
Al 26.98 Al.upf
Ca 40.08 Ca.upf
Ru 101.07 Ru.upf
ATOMIC_POSITIONS crystal
Sr 0.5000 0.5000 0.5000
Al 0.5000 0.0000 0.0000
Al 0.0000 0.5000 0.0000
Ca 0.0000 0.0000 0.5000
Ru 0.0000 0.0000 0.0000
CELL_PARAMETERS angstrom
4.9044 0.0000 0.0000
0.0000 4.9044 0.0000
0.0000 0.0000 5.2971

no.,size of the total moment (μB/cell),mass density (g cm⁻³),uncorrected energy (eV/atom)
1,0.0,8.3,-7.61
2,0.4,3.9,-3.24
3,0.0,7.7,-4.51
4,0.0,7.5,-3.55
5,0.0,3.8,-2.67
6,0.0,10.2,-6.53
7,0.0,6.1,-4.37
8,0.0,3.7,-4.27